This record from the Alexandria database describes crystalline CdPSe at its relaxed geometry. The functional is PBE.

- polymorph energy (0 for the lowest one) (meV per atom) = 322
- volume (A^3/atom) = 20.9
- formation energy from raw total energies (eV/atom) = 0.4317
- SG = P3m1, No. 156

a b c (Å): 5.0961 5.0961 2.7898
angles (deg): 90.00 90.00 120.00
Positions (direct):
Cd  0.0000  0.0000  0.3376
P  0.6667  0.3333  0.3313
Se  0.3333  0.6667  0.3311

This record from the Alexandria database describes crystalline Be2BTeC at its relaxed geometry. The functional is PBE.

- volume (A^3/atom) = 13.0
- formation energy from raw total energies (eV/atom) = 1.2343
- SG = P4/mmm, No. 123

a b c (Å): 3.5146 5.2789 3.5146
angles (deg): 90.00 90.00 90.00
Positions (direct):
Be  0.0000  0.0000  0.5000
Be  0.5000  0.0000  0.0000
C  0.5000  0.5000  0.5000
Te  0.0000  0.5000  0.0000
B  0.0000  0.0000  0.0000

This record from the Alexandria database describes crystalline SnHg2BrF at its relaxed geometry. The functional is PBE.

- volume (A^3/atom) = 28.1
- formation energy from raw total energies (eV/atom) = -0.7226
- SG = P4/mmm, No. 123

a b c (Å): 5.6461 5.6461 4.4015
angles (deg): 90.00 90.00 90.00
Positions (direct):
F  0.0000  0.0000  0.5000
Hg  0.0000  0.5000  0.0000
Hg  0.5000  0.0000  0.0000
Br  0.5000  0.5000  0.5000
Sn  0.0000  0.0000  0.0000

This record from the Alexandria database describes crystalline TlHgCl2 at its relaxed geometry. The functional is PBE.

- polymorph energy (0 for the lowest one) (meV per atom) = 0
- volume (A^3/atom) = 32.1
- formation energy from raw total energies (eV/atom) = -0.6279
- SG = Pm, No. 6

a b c (Å): 5.1909 4.0568 6.4422
angles (deg): 71.08 90.00 90.00
Positions (direct):
Tl  0.5000  0.6330  0.8429
Hg  0.0000  0.3925  0.3484
Cl  0.0000  0.0995  0.9299
Cl  0.5000  0.3750  0.3788

This record from the Alexandria database describes crystalline Sm6Sb2SeS3 at its relaxed geometry. The functional is PBE.

- volume (A^3/atom) = 26.1
- formation energy from raw total energies (eV/atom) = -1.6807
- SG = C2/m, No. 12

a b c (Å): 4.1794 8.4269 9.4104
angles (deg): 103.63 102.83 90.00
Positions (direct):
Sm  0.3300  0.9314  0.6600
Sm  0.6597  0.5998  0.3194
Sm  0.6700  0.0686  0.3400
Sm  0.9940  0.2602  0.9880
Sm  0.0060  0.7398  0.0120
Sm  0.3403  0.4002  0.6806
Sb  0.8337  0.6661  0.6674
Sb  0.1663  0.3339  0.3326
Se  0.5000  0.0000  0.0000
S  0.5000  0.5000  0.0000
S  0.8323  0.1630  0.6647
S  0.1677  0.8370  0.3353

This record from the Alexandria database describes crystalline ZrZn at its relaxed geometry. The functional is PBE.

- volume (A^3/atom) = 19.3
- energy relative to the elements (eV per atom) = -0.0110
- SG = P6_3/mmc, No. 194

a b c (Å): 2.9693 2.9693 10.0952
angles (deg): 90.00 90.00 120.00
Positions (direct):
Zn  0.3333  0.6667  0.2500
Zn  0.6667  0.3333  0.7500
Zr  0.0000  0.0000  0.0000
Zr  0.0000  0.0000  0.5000

This record from the Alexandria database describes crystalline Ac5LaPm2Nd at its relaxed geometry. The functional is PBE.

- volume (A^3/atom) = 41.5
- energy relative to the elements (eV per atom) = 0.1434
- SG = Cmc2_1, No. 36

a b c (Å): 6.0507 11.3566 11.2824
angles (deg): 90.00 90.00 105.45
Positions (direct):
Ac  0.3759  0.7518  0.0210
Ac  0.7242  0.4485  0.8220
Ac  0.4846  0.9691  0.7441
Ac  0.2988  0.5976  0.7031
Ac  0.9887  0.9775  0.5146
Ac  0.6241  0.2482  0.5210
Ac  0.2758  0.5515  0.3220
Ac  0.5154  0.0309  0.2441
Ac  0.7012  0.4024  0.2031
Ac  0.0113  0.0225  0.0146
La  0.5914  0.1827  0.9570
La  0.4086  0.8173  0.4570
Pm  0.8866  0.7731  0.8058
Pm  0.1161  0.2322  0.7418
Pm  0.1134  0.2269  0.3058
Pm  0.8839  0.7678  0.2418
Nd  0.8089  0.6178  0.5147
Nd  0.1911  0.3822  0.0147

This record from the Alexandria database describes crystalline LiPtI2O at its relaxed geometry. The functional is PBE.

- polymorph energy (0 for the lowest one) (meV per atom) = 0
- volume (A^3/atom) = 25.5
- formation energy from raw total energies (eV/atom) = -0.3617
- SG = P4/mmm, No. 123

a b c (Å): 5.7588 5.7588 3.8428
angles (deg): 90.00 90.00 90.00
Last column: magnetic moment on the atom in μB.
Positions (direct):
I  0.0000  0.5000  0.0000  0.00
I  0.5000  0.0000  0.0000  0.00
O  0.0000  0.0000  0.5000  0.20
Pt  0.0000  0.0000  0.0000  0.20
Li  0.5000  0.5000  0.5000  0.00

Number 1: total magnetization 0.00 μB/cell. Number 2: total magnetization 0.00 μB/cell. Number 3: total magnetization 0.00 μB/cell. Number 4: total magnetization 0.00 μB/cell. Number 5: total magnetization 0.00 μB/cell. Number 6: total magnetization 0.00 μB/cell. Number 7: total magnetization 0.00 μB/cell. Number 8: total magnetization 0.44 μB/cell.